[1]
VASP calculation (PBEsol) on ZrTlAu after structural relaxation.

```
ZrTlAu
1.0
-1.6266 1.6266 5.8147
1.6266 -1.6266 5.8147
1.6266 1.6266 -5.8147
Zr Tl Au
1 1 1
direct
0.0000 0.0000 0.0000
0.6825 0.6825 0.0000
0.3520 0.3520 0.0000
```

Results
total magnetization	0.000	μB/atom
crystal system	tetragonal
space group	I4mm
ΔE_f	-250	meV/atom

---

[2]
VASP calculation (PBEsol) on TmAu3 after structural relaxation.

```
TmAu3
1.0
4.9225 0.0000 0.0000
0.0000 5.9787 0.0000
0.0000 0.0000 5.0462
Tm Au
2 6
direct
0.2500 0.2500 0.1558
0.7500 0.7500 0.8442
0.2500 0.5054 0.6617
0.2500 0.7500 0.1654
0.2500 0.9946 0.6617
0.7500 0.0054 0.3383
0.7500 0.2500 0.8346
0.7500 0.4946 0.3383
```

Results
total magnetization	0.000	μB/atom
crystal system	orthorhombic
space group	Pmmn
ΔE_f	-750	meV/atom

---

[3]
VASP calculation (PBEsol) on Tm2ZnAu after structural relaxation.

```
Tm2ZnAu
1.0
0.0000 3.4776 3.4776
3.4776 0.0000 3.4776
3.4776 3.4776 0.0000
Tm Zn Au
2 1 1
direct
0.2500 0.2500 0.2500
0.7500 0.7500 0.7500
0.0000 0.0000 0.0000
0.5000 0.5000 0.5000
```

Results
total magnetization	0.000	μB/atom
crystal system	cubic
space group	Fm-3m
ΔE_f	-628	meV/atom

---

> What is the ΔE_f in the second record?

-750 meV/atom

---

> total magnetization of number 2 (TmAu3)?

0.000 μB/atom

---

> Which value of ΔE_f does entry 2 give?

-750 meV/atom